{
  "formula": "InSbAs2",
  "functional": "PBE-GGA",
  "state": "relaxed",
  "lattice": [[3.451, 0.106, 0.000], [-0.896, 3.334, 0.000], [0.000, 0.000, 8.104]],
  "species": ["Sb", "As", "As", "In"],
  "frac_coords": [[0.500, 0.500, 0.750], [0.000, 0.000, 0.002], [0.000, 0.000, 0.498], [0.500, 0.500, 0.250]],
  "raw_formation_energy_ev_per_fu": 1.14,
  "sg": "No. 65",
  "vol_a3_per_fu": 94,
  "e_above_lowest_polymorph_mev_per_atom": 317.6
}